(1)
VASP calculation (PBE) on crystalline TaZnInRu2 at its relaxed geometry.

Properties
D(E_F) = 7.842 states/eV/cell
Formation energy from the elements = 2.103 eV/atom
Symmetry = P4/mmm, No. 123

Lattice parameters (Å, degrees): 4.8136 4.9957 4.8136 90.00 90.00 90.00
Positions (direct):
Zn 0.5000 0.5000 0.5000
In 0.0000 0.0000 0.0000
Ru 0.5000 0.0000 0.0000
Ru 0.0000 0.0000 0.5000
Ta 0.0000 0.5000 0.0000

***

(2)
VASP calculation (PBE) on crystalline Ca3TlW at its relaxed geometry.

Properties
D(E_F) = 2.087 states/eV/cell
Energy relative to the lowest polymorph listed for this composition = 0.282 eV per atom
Formation energy from the elements = 1.162 eV/atom
Symmetry = Pm-3m, No. 221

Lattice parameters (Å, degrees): 5.8540 5.8540 5.8540 90.00 90.00 90.00
Each line ends with the local moment (μB).
Positions (direct):
W 0.5000 0.5000 0.5000  3.27
Ca 0.5000 0.0000 0.0000  0.00
Ca 0.0000 0.5000 0.0000  0.01
Tl 0.0000 0.0000 0.0000  -0.02
Ca 0.0000 0.0000 0.5000  0.02

***

(3)
VASP calculation (PBE) on crystalline Tc2Rh at its relaxed geometry.

Properties
D(E_F) = 6.891 states/eV/cell
Energy relative to the lowest polymorph listed for this composition = 0.415 eV per atom
Formation energy from the elements = 0.297 eV/atom
Symmetry = Fd-3m, No. 227

Lattice parameters (Å, degrees): 5.0558 5.0558 5.0558 60.00 60.00 60.00
Positions (direct):
Rh 0.5000 0.5000 0.5000
Tc 0.1250 0.6250 0.1250
Tc 0.1250 0.1250 0.6250
Rh 0.7500 0.7500 0.7500
Tc 0.1250 0.1250 0.1250
Tc 0.6250 0.1250 0.1250

***

(4)
VASP calculation (PBE) on crystalline Tb3PrP4 at its relaxed geometry.

Properties
D(E_F) = 0.714 states/eV/cell
Formation energy from the elements = -1.578 eV/atom
Symmetry = Cmmm, No. 65

Lattice parameters (Å, degrees): 4.0753 7.0539 7.0539 70.56 90.00 90.00
Positions (direct):
Tb 0.5000 0.0001 0.5000
Tb 0.0000 0.5001 0.5000
P 0.5000 0.7536 0.2535
Tb 0.9999 0.0001 0.0000
Pr 0.5000 0.5001 0.0000
P 0.0000 0.7572 0.7429
P 0.0000 0.2431 0.2570
P 0.5000 0.2466 0.7465

***

(5)
VASP calculation (PBE) on crystalline ZrFeSiOs2 at its relaxed geometry.

Properties
D(E_F) = 7.414 states/eV/cell
Formation energy without anion corrections = 2.275 eV/atom
Symmetry = P4/mmm, No. 123

Lattice parameters (Å, degrees): 4.8651 4.5831 4.8651 90.00 90.00 90.00
Each line ends with the local moment (μB).
Positions (direct):
Fe 0.0000 0.5000 0.0000  2.51
Os 0.5000 0.0000 0.0000  0.65
Os 0.0000 0.0000 0.5000  0.83
Si 0.5000 0.5000 0.5000  0.00
Zr 0.0000 0.0000 0.0000  -0.23

***

(6)
VASP calculation (PBE) on crystalline CaCeGe4 at its relaxed geometry.

Properties
D(E_F) = 9.191 states/eV/cell
Formation energy from the elements = -0.350 eV/atom
Symmetry = F-43m, No. 216

Lattice parameters (Å, degrees): 5.6826 5.6826 5.6826 60.00 60.00 60.00
Each line ends with the local moment (μB).
Positions (direct):
Ge 0.1249 0.6250 0.6250  0.01
Ca 0.0000 0.0000 0.0000  0.04
Ge 0.6250 0.6250 0.6250  0.01
Ge 0.6250 0.1249 0.6250  0.01
Ge 0.6250 0.6250 0.1249  0.01
Ce 0.2500 0.2500 0.2500  0.94

***

(7)
VASP calculation (PBE) on crystalline BaMg3Pt2 at its relaxed geometry.

Properties
D(E_F) = 3.661 states/eV/cell
Formation energy from the elements = -0.686 eV/atom
Symmetry = C2/m, No. 12

Lattice parameters (Å, degrees): 4.4312 8.5096 8.7012 115.03 90.00 105.09
Positions (direct):
Ba 0.1508 0.3017 0.0742
Mg 0.6799 0.3599 0.4443
Pt 0.4858 0.9716 0.8335
Ba 0.8492 0.6983 0.9258
Pt 0.8192 0.6384 0.3514
Mg 0.3201 0.6401 0.5557
Mg 0.4019 0.8038 0.3138
Mg 0.0341 0.0683 0.3551
Pt 0.5142 0.0284 0.1665
Mg 0.5981 0.1962 0.6862
Pt 0.1808 0.3616 0.6486
Mg 0.9659 0.9317 0.6449

***

(8)
VASP calculation (PBE) on crystalline BaCa2Tl3 at its relaxed geometry.

Properties
D(E_F) = 3.802 states/eV/cell
Formation energy from the elements = -0.424 eV/atom
Symmetry = P4/mmm, No. 123

Lattice parameters (Å, degrees): 4.0261 4.0261 12.0493 90.00 90.00 90.00
Positions (direct):
Tl 0.0000 0.0000 0.6937
Ca 0.5000 0.5000 0.1551
Ba 0.5000 0.5000 0.5000
Tl 0.0000 0.0000 0.0000
Ca 0.5000 0.5000 0.8449
Tl 0.0000 0.0000 0.3063

***

(9)
VASP calculation (PBE) on crystalline AcTm12Pb7 at its relaxed geometry.

Properties
D(E_F) = 25.525 states/eV/cell
Formation energy from the elements = -0.247 eV/atom
Symmetry = R-3m, No. 166

Lattice parameters (Å, degrees): 9.3850 9.3850 9.3850 110.42 110.42 110.42
Positions (direct):
Pb 0.1348 0.1349 0.4520
Tm 0.7222 0.2779 0.0001
Pb 0.8652 0.8651 0.5480
Pb 0.4520 0.1348 0.1349
Tm 0.0001 0.7222 0.2779
Tm 0.8337 0.5027 0.5027
Tm 0.7221 0.9999 0.2778
Tm 0.4973 0.4973 0.1663
Pb 0.5480 0.8652 0.8651
Tm 0.5027 0.8337 0.5027
Ac 0.0000 0.0000 0.0000
Pb 0.8651 0.5480 0.8652
Tm 0.2778 0.7221 0.9999
Pb 0.1349 0.4520 0.1348
Tm 0.5027 0.5027 0.8337
Tm 0.1663 0.4973 0.4973
Tm 0.4973 0.1663 0.4973
Tm 0.2779 0.0001 0.7222
Tm 0.9999 0.2778 0.7221
Pb 0.5000 0.5000 0.5000

***

(10)
VASP calculation (PBE) on crystalline HfTc3Se at its relaxed geometry.

Properties
D(E_F) = 7.818 states/eV/cell
Energy relative to the lowest polymorph listed for this composition = 1.383 eV per atom
Formation energy without anion corrections = 1.959 eV/atom
Symmetry = Pm-3m, No. 221

Lattice parameters (Å, degrees): 4.8124 4.8124 4.8124 90.00 90.00 90.00
Each line ends with the local moment (μB).
Positions (direct):
Se 0.5000 0.5000 0.5000  -0.05
Tc 0.0000 0.0000 0.5000  1.00
Tc 0.5000 0.0000 0.0000  1.42
Hf 0.0000 0.0000 0.0000  -0.09
Tc 0.0000 0.5000 0.0000  1.09

***

(11)
VASP calculation (PBE) on crystalline Na3Ag7Ge2 at its relaxed geometry.

Properties
D(E_F) = 3.061 states/eV/cell
Formation energy from the elements = -0.012 eV/atom
Symmetry = R-3m, No. 166

Lattice parameters (Å, degrees): 5.6642 5.6642 9.7226 73.06 73.06 60.00
Positions (direct):
Ge 0.3321 0.3321 0.0037
Ag 0.0813 0.5826 0.7534
Ag 0.5826 0.0813 0.7534
Ag 0.4174 0.9187 0.2466
Ag 0.4174 0.4174 0.2466
Ag 0.5826 0.5826 0.7534
Na 0.8553 0.8553 0.4342
Ge 0.6679 0.6679 0.9963
Na 0.1447 0.1447 0.5658
Ag 0.5000 0.5000 0.5000
Ag 0.9187 0.4174 0.2466
Na 0.0000 0.0000 0.0000

***

(12)
VASP calculation (PBE) on crystalline MnRhBr4 at its relaxed geometry.

Properties
D(E_F) = 9.218 states/eV/cell
Formation energy without anion corrections = 1.169 eV/atom
Symmetry = F-43m, No. 216

Lattice parameters (Å, degrees): 6.1268 6.1268 6.1268 60.00 60.00 60.00
Each line ends with the local moment (μB).
Positions (direct):
Br 0.3751 0.8747 0.3751  -0.06
Mn 0.7500 0.7500 0.7500  4.50
Rh 0.0000 0.0000 0.0000  1.24
Br 0.3751 0.3751 0.3751  -0.06
Br 0.8747 0.3751 0.3751  -0.06
Br 0.3751 0.3751 0.8747  -0.06

***

- Which of these has the highest D(E_F)?
  AcTm12Pb7

***

- Which formula does entry 2 have?
  Ca3TlW